#P
Hf2IN2 | PBE | optimized geometry

a b c (Å): 7.1664 7.1664 3.0634
angles (deg): 90.00 90.00 90.00
With the nearest neighbours (Å) after each atom.
Fractional coordinates of all 10 atoms:
I  0.0000  0.0000  0.0000  4 Hf 2.80, 2 I 3.06
I  0.5000  0.5000  0.0000  4 Hf 2.80, 2 I 3.06
Hf  0.3669  0.8669  0.0000  4 N 2.37
Hf  0.8669  0.6331  0.0000  4 N 2.37
Hf  0.6331  0.1331  0.0000  4 N 2.37
Hf  0.1331  0.3669  0.0000  4 N 2.37
N  0.1189  0.6189  0.5000  4 Hf 2.37, 1 N 2.41
N  0.6189  0.8811  0.5000  4 Hf 2.37, 1 N 2.41
N  0.8811  0.3811  0.5000  4 Hf 2.37, 1 N 2.41
N  0.3811  0.1189  0.5000  4 Hf 2.37, 1 N 2.41

Values from the calculation:
Total moment = 0.00 μB per atom
DOS at the Fermi energy = 0.3798 states/eV per atom
Volume = 15.732 A^3/atom

***

#Q
Hf2IN2 | PBE | optimized geometry

a b c (Å): 3.8813 3.8813 6.3723
angles (deg): 72.27 72.27 90.00
With the nearest neighbours (Å) after each atom.
Fractional coordinates of all 5 atoms:
I  0.0000  0.0000  0.0000  10 Hf 3.38-3.77, 8 N 3.47
Hf  0.3277  0.3277  0.3445  4 N 2.14
Hf  0.6723  0.6723  0.6555  4 N 2.14
N  0.7500  0.2500  0.5000  4 Hf 2.14
N  0.2500  0.7500  0.5000  4 Hf 2.14

Values from the calculation:
Total moment = 0.00 μB per atom
DOS at the Fermi energy = 0.2275 states/eV per atom
Volume = 17.327 A^3/atom

***

Which is most stable? The ranking, best first, is #Q, #P.